Compound: Li12Ag5Au2
Source: the Alexandria database
Functional: GGA-PBE
Structure: optimized geometry

a b c (Å): 12.132 8.594 6.171
angles (deg): 90.00 90.58 90.00
Space group C2/m (No. 12)
Inequivalent atoms, fractional coordinates:
Li 0.045 0.000 0.228 (multiplicity 4)
Li 0.109 0.234 0.870 (multiplicity 8)
Li 0.109 0.500 0.595 (multiplicity 4)
Li 0.181 0.277 0.288 (multiplicity 8)
Ag 0.000 0.500 0.000 (multiplicity 2)
Ag 0.174 0.000 0.577 (multiplicity 4)
Ag 0.246 0.500 0.967 (multiplicity 4)
Au 0.000 0.236 0.500 (multiplicity 4)

Values from the calculation:
M_tot: 0.00 μB/cell
DOS(E_F): 11.5 states/eV per cell
Calculated total energy: -2.53 eV/atom
DFT formation energy: -0.2299 eV/atom

Compound: ZrScSe2
Source: the Alexandria database
Functional: GGA-PBE
Structure: optimized geometry

a b c (Å): 3.6731 3.6731 21.0550
angles (deg): 90.00 90.00 120.00
Space group R3m (No. 160, hexagonal axes)
Inequivalent atoms, fractional coordinates:
Zr 0.0000 0.0000 0.0000 (multiplicity 3)
Sc 0.0000 0.0000 0.1670 (multiplicity 3)
Se 0.0000 0.0000 0.5829 (multiplicity 3)
Se 0.0000 0.0000 0.7518 (multiplicity 3)

Values from the calculation:
M_tot: 0.00 μB/cell
DOS(E_F): 10.0 states/eV per cell
Formation energy without anion corrections: -1.384 eV per atom
Calculated total energy: -6.85 eV/atom

Compound: CeAlZnPt3
Source: the Alexandria database
Functional: GGA-PBE
Structure: optimized geometry

a b c (Å): 6.844 11.969 5.710
angles (deg): 90.00 90.00 90.00
Space group Cmcm (No. 63)
Inequivalent atoms, fractional coordinates:
Ce 0.000 0.207 0.250 (multiplicity 4)
Al 0.000 0.123 0.750 (multiplicity 4)
Zn 0.000 0.458 0.250 (multiplicity 4)
Pt 0.000 0.322 0.750 (multiplicity 4)
Pt 0.207 0.000 0.000 (multiplicity 8)

Values from the calculation:
M_tot: 2.42 μB/cell
DOS(E_F): 26.9 states/eV per cell
Calculated total energy: -5.54 eV/atom
DFT formation energy: -0.6939 eV/atom

Compound: Li7AcZn5
Source: the Alexandria database
Functional: GGA-PBE
Structure: optimized geometry

a b c (Å): 5.255 9.449 9.594
angles (deg): 90.00 90.00 90.00
Space group Imm2 (No. 44)
Inequivalent atoms, fractional coordinates:
Li 0.000 0.000 0.000 (multiplicity 2)
Li 0.000 0.000 0.301 (multiplicity 2)
Li 0.000 0.271 0.151 (multiplicity 4)
Li 0.000 0.355 0.640 (multiplicity 4)
Li 0.000 0.500 0.911 (multiplicity 2)
Ac 0.000 0.000 0.653 (multiplicity 2)
Zn 0.000 0.500 0.370 (multiplicity 2)
Zn 0.249 0.249 0.898 (multiplicity 8)

Values from the calculation:
M_tot: 0.00 μB/cell
DOS(E_F): 11.4 states/eV per cell
Calculated total energy: -1.99 eV/atom
DFT formation energy: -0.1575 eV/atom

Compound: ZnTcS2
Source: the Alexandria database
Functional: GGA-PBE
Structure: optimized geometry

a b c (Å): 3.4210 3.4210 22.2965
angles (deg): 90.00 90.00 120.00
Space group R-3m (No. 166, hexagonal axes)
Inequivalent atoms, fractional coordinates:
Zn 0.0000 0.0000 0.0000 (multiplicity 3)
Tc 0.0000 0.0000 0.5000 (multiplicity 3)
S 0.0000 0.0000 0.1045 (multiplicity 6)

Values from the calculation:
M_tot: 3.03 μB/cell
DOS(E_F): 4.3 states/eV per cell
Formation energy without anion corrections: -0.168 eV per atom
Calculated total energy: -5.14 eV/atom

Compound: Cs3LiMn2Cl9
Source: the Alexandria database
Functional: GGA-PBE
Structure: optimized geometry

a b c (Å): 7.2242 7.2242 8.8897
angles (deg): 90.00 90.00 120.00
Space group P-3m1 (No. 164)
Inequivalent atoms, fractional coordinates:
Cs 0.0000 0.0000 0.0000 (multiplicity 1)
Cs 0.3333 0.6667 0.6610 (multiplicity 2)
Li 0.0000 0.0000 0.5000 (multiplicity 1)
Mn 0.3333 0.6667 0.1713 (multiplicity 2)
Cl 0.0000 0.5000 0.0000 (multiplicity 3)
Cl 0.1726 0.3451 0.3209 (multiplicity 6)

Values from the calculation:
M_tot: 9.00 μB/cell
DOS(E_F): 2.3 states/eV per cell
Formation energy without anion corrections: -1.545 eV per atom
Calculated total energy: -4.17 eV/atom

Compound: V3MoP2
Source: the Alexandria database
Functional: GGA-PBE
Structure: optimized geometry

a b c (Å): 5.056 10.745 6.239
angles (deg): 90.00 90.00 90.00
Space group Ibam (No. 72)
Inequivalent atoms, fractional coordinates:
V 0.000 0.000 0.250 (multiplicity 4)
V 0.000 0.309 0.250 (multiplicity 8)
Mo 0.000 0.500 0.000 (multiplicity 4)
P 0.140 0.157 0.000 (multiplicity 8)

Values from the calculation:
M_tot: 0.00 μB/cell
DOS(E_F): 22.1 states/eV per cell
Calculated total energy: -8.64 eV/atom
DFT formation energy: -0.4682 eV/atom

Compound: PmHoPtRh
Source: the Alexandria database
Functional: GGA-PBE
Structure: optimized geometry

a b c (Å): 7.000 7.000 7.000
angles (deg): 90.00 90.00 90.00
Space group F-43m (No. 216)
Inequivalent atoms, fractional coordinates:
Pm 0.000 0.000 0.000 (multiplicity 4)
Ho 0.000 0.000 0.500 (multiplicity 4)
Pt 0.250 0.250 0.250 (multiplicity 4)
Rh 0.250 0.250 0.750 (multiplicity 4)

Values from the calculation:
M_tot: 0.00 μB/cell
DOS(E_F): 7.6 states/eV per cell
Calculated total energy: -6.65 eV/atom
DFT formation energy: -0.9676 eV/atom

Compound: Mn2IrSe
Source: the Alexandria database
Functional: GGA-PBE
Structure: optimized geometry

a b c (Å): 3.715 3.715 8.676
angles (deg): 90.00 90.00 90.00
Space group I-4m2 (No. 119)
Inequivalent atoms, fractional coordinates:
Mn 0.000 0.000 0.000 (multiplicity 2)
Mn 0.000 0.500 0.250 (multiplicity 2)
Ir 0.000 0.000 0.500 (multiplicity 2)
Se 0.000 0.500 0.750 (multiplicity 2)

Values from the calculation:
M_tot: 14.47 μB/cell
DOS(E_F): 6.4 states/eV per cell
Formation energy without anion corrections: 0.207 eV per atom
Calculated total energy: -7.46 eV/atom

Compound: Tm2ThPaN4
Source: the Alexandria database
Functional: GGA-PBE
Structure: optimized geometry

a b c (Å): 6.060 3.488 6.061
angles (deg): 90.00 109.33 90.00
Space group P2/m (No. 10)
Inequivalent atoms, fractional coordinates:
Tm 0.000 0.000 0.000 (multiplicity 1)
Tm 0.000 0.500 0.500 (multiplicity 1)
Th 0.500 0.000 0.500 (multiplicity 1)
Pa 0.500 0.500 0.000 (multiplicity 1)
N 0.243 0.500 0.234 (multiplicity 2)
N 0.246 0.000 0.760 (multiplicity 2)

Values from the calculation:
M_tot: 0.00 μB/cell
DOS(E_F): 3.6 states/eV per cell
Formation energy without anion corrections: -1.663 eV per atom
Calculated total energy: -9.06 eV/atom

Compound: Ba2Tl3SnS6
Source: the Alexandria database
Functional: GGA-PBE
Structure: optimized geometry

a b c (Å): 7.598 13.533 7.504
angles (deg): 90.00 113.06 90.00
Space group C2/m (No. 12)
Inequivalent atoms, fractional coordinates:
Ba 0.000 0.166 0.000 (multiplicity 4)
Tl 0.000 0.000 0.500 (multiplicity 2)
Tl 0.000 0.341 0.500 (multiplicity 4)
Sn 0.000 0.500 0.000 (multiplicity 2)
S 0.210 0.500 0.776 (multiplicity 4)
S 0.219 0.364 0.215 (multiplicity 8)

Values from the calculation:
M_tot: 0.00 μB/cell
DOS(E_F): 7.6 states/eV per cell
Formation energy without anion corrections: -0.862 eV per atom
Calculated total energy: -4.17 eV/atom

Compound: Pm3Nd5
Source: the Alexandria database
Functional: GGA-PBE
Structure: optimized geometry

a b c (Å): 5.185 5.187 10.375
angles (deg): 90.00 90.00 90.00
Space group Pmmm (No. 47)
Inequivalent atoms, fractional coordinates:
Pm 0.000 0.000 0.000 (multiplicity 1)
Pm 0.000 0.500 0.250 (multiplicity 2)
Nd 0.000 0.000 0.500 (multiplicity 1)
Nd 0.500 0.000 0.249 (multiplicity 2)
Nd 0.500 0.500 0.000 (multiplicity 1)
Nd 0.500 0.500 0.500 (multiplicity 1)

Values from the calculation:
M_tot: 0.00 μB/cell
DOS(E_F): 13.1 states/eV per cell
Calculated total energy: -4.75 eV/atom
DFT formation energy: 0.0134 eV/atom